1.
## Tm4InTeC2 (PBE)

Data for an optimized crystal structure of Tm4InTeC2.

Properties
For the calculated total energy, the calculation gives -5.926 eV per atom. For the mass density, the calculation gives 9.05 g/cm³. The value obtained for the calculated volume is 21.602 Å³ per atom. Its crystal system is hexagonal.

Unit cell a=3.6412 b=3.6412 c=15.0505 alpha=90.00 beta=90.00 gamma=120.00
Space group P-6m2 (No. 187)
Symmetry-distinct sites (fractional):
Tm1 0.0000 0.0000 0.1522
Tm2 0.6667 0.3333 0.3255
In1 0.0000 0.0000 0.5000
Te1 0.6667 0.3333 0.0000
C1 0.3333 0.6667 0.2359

---

2.
## Tm4ZnInC2 (PBE)

Data for an optimized crystal structure of Tm4ZnInC2.

Properties
For the calculated total energy, the calculation gives -5.401 eV per atom. For the mass density, the calculation gives 8.68 g/cm³. The value obtained for the calculated volume is 21.049 Å³ per atom. Its crystal system is hexagonal.

Unit cell a=3.5457 b=3.5457 c=15.4663 alpha=90.00 beta=90.00 gamma=120.00
Space group P-6m2 (No. 187)
Symmetry-distinct sites (fractional):
Tm1 0.0000 0.0000 0.1548
Tm2 0.6667 0.3333 0.3261
Zn1 0.6667 0.3333 0.0000
In1 0.0000 0.0000 0.5000
C1 0.3333 0.6667 0.2401

---

3.
## InW3C2 (PBE)

Data for an optimized crystal structure of InW3C2.

Properties
For the calculated total energy, the calculation gives -9.738 eV per atom. For the mass density, the calculation gives 14.19 g/cm³. The value obtained for the calculated volume is 13.463 Å³ per atom. Its crystal system is hexagonal.

Unit cell a=3.1165 b=3.1165 c=19.2071 alpha=90.00 beta=90.00 gamma=120.00
Space group P6_3/mmc (No. 194)
Symmetry-distinct sites (fractional):
In1 0.0000 0.0000 0.2500
W1 0.0000 0.0000 0.0000
W2 0.3333 0.6667 0.1248
C1 0.3333 0.6667 0.5671